Entry 1:
# ReHg (PBE-GGA, relaxed)
data_ReHg
_space_group_name_H-M_alt 'F m -3 m'
_space_group_IT_number 225
_space_group_name_Hall '-F 4 2 3'
_cell_length_a 5.489
_cell_length_b 5.489
_cell_length_c 5.489
_cell_angle_alpha 90.00
_cell_angle_beta 90.00
_cell_angle_gamma 90.00
loop_
_atom_site_label
_atom_site_type_symbol
_atom_site_fract_x
_atom_site_fract_y
_atom_site_fract_z
_atom_site_occupancy
Re1 Re 0.000 0.000 0.000 1
Hg1 Hg 0.000 0.000 0.500 1
# Formation energy from the elements in eV per atom: 2.00

Entry 2:
# LaBeAg3 (PBE-GGA, relaxed)
data_LaBeAg3
_space_group_name_H-M_alt 'P m -3 m'
_space_group_IT_number 221
_space_group_name_Hall '-P 4 2 3'
_cell_length_a 5.801
_cell_length_b 5.801
_cell_length_c 5.801
_cell_angle_alpha 90.00
_cell_angle_beta 90.00
_cell_angle_gamma 90.00
loop_
_atom_site_label
_atom_site_type_symbol
_atom_site_fract_x
_atom_site_fract_y
_atom_site_fract_z
_atom_site_occupancy
La1 La 0.000 0.000 0.000 1
Be1 Be 0.500 0.500 0.500 1
Ag1 Ag 0.000 0.000 0.500 1
# Formation energy from the elements in eV per atom: 1.43

Entry 3:
# ZrMnAl2 (PBE-GGA, relaxed)
data_ZrMnAl2
_space_group_name_H-M_alt 'F -4 3 m'
_space_group_IT_number 216
_space_group_name_Hall 'F -4 2 3'
_cell_length_a 6.307
_cell_length_b 6.307
_cell_length_c 6.307
_cell_angle_alpha 90.00
_cell_angle_beta 90.00
_cell_angle_gamma 90.00
loop_
_atom_site_label
_atom_site_type_symbol
_atom_site_fract_x
_atom_site_fract_y
_atom_site_fract_z
_atom_site_occupancy
Zr1 Zr 0.000 0.000 0.000 1
Mn1 Mn 0.250 0.250 0.250 1
Al1 Al 0.000 0.000 0.500 1
Al2 Al 0.250 0.250 0.750 1
# Formation energy from the elements in eV per atom: -0.17

Entry 4:
# KTc2Te (PBE-GGA, relaxed)
data_KTc2Te
_space_group_name_H-M_alt 'C 1 2/m 1'
_space_group_IT_number 12
_space_group_name_Hall '-C 2y'
_cell_length_a 5.860
_cell_length_b 11.018
_cell_length_c 2.755
_cell_angle_alpha 90.00
_cell_angle_beta 112.73
_cell_angle_gamma 90.00
loop_
_atom_site_label
_atom_site_type_symbol
_atom_site_fract_x
_atom_site_fract_y
_atom_site_fract_z
_atom_site_occupancy
K1 K 0.000 0.000 0.000 1
Tc1 Tc 0.250 0.250 0.000 1
Te1 Te 0.000 0.500 0.000 1
# Formation energy from raw total energies in eV per atom: 1.175

Copy entry 4 word for word.
# KTc2Te (PBE-GGA, relaxed)
data_KTc2Te
_space_group_name_H-M_alt 'C 1 2/m 1'
_space_group_IT_number 12
_space_group_name_Hall '-C 2y'
_cell_length_a 5.860
_cell_length_b 11.018
_cell_length_c 2.755
_cell_angle_alpha 90.00
_cell_angle_beta 112.73
_cell_angle_gamma 90.00
loop_
_atom_site_label
_atom_site_type_symbol
_atom_site_fract_x
_atom_site_fract_y
_atom_site_fract_z
_atom_site_occupancy
K1 K 0.000 0.000 0.000 1
Tc1 Tc 0.250 0.250 0.000 1
Te1 Te 0.000 0.500 0.000 1
# Formation energy from raw total energies in eV per atom: 1.175